DFT (PBE) results for a geometry-optimized Cs2AcOs3O12 structure. Values from VASP.

Properties
Total DFT energy (no corrections) in eV per atom: -6.989
Space-group type: R-3m (166)
Total magnetic moment in μB per atom: 0.12

```
&SYSTEM
  ibrav = 0, nat = 18, ntyp = 4
/
ATOMIC_SPECIES
Cs 132.91 Cs.upf
Ac 227.00 Ac.upf
Os 190.23 Os.upf
O 16.00 O.upf
CELL_PARAMETERS angstrom
3.7105 2.1423 6.3967
-3.7105 2.1423 6.3967
0.0000 -4.2846 6.3967
ATOMIC_POSITIONS angstrom
Cs 0.0000 0.0000 2.1566
Cs 0.0000 0.0000 17.0335
Ac 0.0000 0.0000 9.5951
Os -1.8553 -1.0711 6.3967
Os -1.8553 1.0711 12.7934
Os 0.0000 2.1423 6.3967
O -1.8179 -1.0496 8.2687
O 0.0000 -1.6102 6.3716
O -1.3945 0.8051 6.3716
O 0.0000 -2.0991 10.9214
O -1.8179 1.0496 10.9214
O -1.3945 -0.8051 12.8185
O 1.3945 0.8051 6.3716
O 1.8179 -1.0496 8.2687
O 0.0000 2.0992 8.2687
O 1.3945 -0.8051 12.8185
O 0.0000 1.6102 12.8185
O 1.8179 1.0496 10.9214
```